# 1
DFT (GGA-PBE) results for an optimized crystal structure of Zr2BeAs.

Output
**Space-group type**: No. 216
**Total magnetic moment**: 0.62 μB per cell

Cell lengths 6.5723, 6.5723, 6.5723 Å; angles 90.00, 90.00, 90.00 degrees
Positions (direct):
1 Zr 0.0000 0.0000 0.0000
2 Zr 0.0000 0.5000 0.5000
3 Zr 0.2500 0.2500 0.2500
4 Zr 0.2500 0.7500 0.7500
5 Zr 0.5000 0.0000 0.5000
6 Zr 0.5000 0.5000 0.0000
7 Zr 0.7500 0.2500 0.7500
8 Zr 0.7500 0.7500 0.2500
9 Be 0.2500 0.2500 0.7500
10 Be 0.2500 0.7500 0.2500
11 Be 0.7500 0.2500 0.2500
12 Be 0.7500 0.7500 0.7500
13 As 0.0000 0.0000 0.5000
14 As 0.0000 0.5000 0.0000
15 As 0.5000 0.0000 0.0000
16 As 0.5000 0.5000 0.5000

=====

# 2
DFT (GGA-PBE) results for an optimized crystal structure of Cu15Pb.

Output
**Space-group type**: No. 11

Cell lengths 5.1085, 3.5893, 34.0958 Å; angles 90.00, 90.02, 90.00 degrees
Positions (direct):
1 Cu 0.1221 0.2500 0.2424
2 Cu 0.1252 0.2500 0.0184
3 Cu 0.1246 0.2500 0.0925
4 Cu 0.1251 0.2500 0.1670
5 Cu 0.1249 0.2500 0.7948
6 Cu 0.1250 0.2500 0.8699
7 Cu 0.1250 0.2500 0.9444
8 Cu 0.3719 0.7500 0.7576
9 Cu 0.3750 0.7500 0.0557
10 Cu 0.3750 0.7500 0.1296
11 Cu 0.3752 0.7500 0.2042
12 Cu 0.3750 0.7500 0.2769
13 Cu 0.3750 0.7500 0.8331
14 Cu 0.3746 0.7500 0.9076
15 Cu 0.3752 0.7500 0.9816
16 Cu 0.6248 0.2500 0.0184
17 Cu 0.6254 0.2500 0.0924
18 Cu 0.6250 0.2500 0.1669
19 Cu 0.6250 0.2500 0.7231
20 Cu 0.6248 0.2500 0.7958
21 Cu 0.6250 0.2500 0.8704
22 Cu 0.6250 0.2500 0.9443
23 Cu 0.6281 0.2500 0.2424
24 Cu 0.8750 0.7500 0.0556
25 Cu 0.8750 0.7500 0.1301
26 Cu 0.8751 0.7500 0.2052
27 Cu 0.8749 0.7500 0.8330
28 Cu 0.8754 0.7500 0.9075
29 Cu 0.8748 0.7500 0.9816
30 Cu 0.8779 0.7500 0.7576
31 Pb 0.1250 0.2500 0.6984
32 Pb 0.8750 0.7500 0.3016

=====

So what do the calculations give for distance to the lowest polymorph of the same formula? Going down the list: 1.088; 0.022 eV/atom.
So what do the calculations give for E_tot? Going down the list: -6.077; -3.648 eV/atom.